Record 1
The following is a DFT calculation (PBEsol) of crystalline BiTeRhN2 at its relaxed geometry.

Lattice parameters (Å, degrees): 4.160 4.160 6.272 90.00 90.00 90.00
Atoms (fractional coordinates):
Bi: 0.000 0.000 0.000
Te: 0.000 0.000 0.500
Rh: 0.500 0.500 0.500
N: 0.000 0.500 0.000
N: 0.500 0.000 0.000

## Properties
Mass density ... 7.2 Mg/m³
Raw formation energy ... 43.8 kcal/mol of atoms
Space group ... P4/mmm (123)

***

Record 2
The following is a DFT calculation (PBEsol) of crystalline KGa3Pb at its relaxed geometry.

Lattice parameters (Å, degrees): 5.569 5.569 5.569 90.00 90.00 90.00
Atoms (fractional coordinates):
K: 0.000 0.000 0.000
Ga: 0.000 0.500 0.500
Ga: 0.500 0.000 0.500
Ga: 0.500 0.500 0.000
Pb: 0.500 0.500 0.500

## Properties
Mass density ... 4.4 Mg/m³
Energy of formation ... 0.43 eV per atom
Space group ... Pm-3m (221)

***

Record 3
The following is a DFT calculation (PBEsol) of crystalline HfZrPd2 at its relaxed geometry.

Lattice parameters (Å, degrees): 4.651 4.651 4.651 60.00 60.00 60.00
Atoms (fractional coordinates):
Hf: 0.000 0.000 0.000
Zr: 0.500 0.500 0.500
Pd: 0.250 0.250 0.250
Pd: 0.750 0.750 0.750

## Properties
Mass density ... 11.3 Mg/m³
Energy of formation ... -0.61 eV per atom
Space group ... Fm-3m (225)

***

Q: Number 1 is which compound?
A: BiTeRhN2

***

Q: mass density of number 3 (HfZrPd2)?
A: 11.3 Mg/m³

***

Q: The highest mass density belongs to which entry?
A: HfZrPd2

***

Q: Number 3 is which compound?
A: HfZrPd2